This record from Alexandria via LeMat-Bulk describes an optimized crystal structure of Tb2NdMoO8. The functional is GGA+U.

## Properties
crystal system: monoclinic
D(E_F): 0.47 states/eV/atom
total DFT energy (no corrections): -92.36 eV for the cell shown
total moment: 0.0775 μB per atom

Cell lengths 5.0879, 5.0880, 6.9651 Å; angles 90.00, 90.00, 90.37 degrees
Closest atoms and distances in Å follow each position.
Fractional positions:
Tb 0.5000 0.5000 0.7564  6 O 2.22-2.35
Tb 0.5000 0.5000 0.2436  6 O 2.22-2.35
Nd 0.0000 0.0000 0.5000  6 O 2.27-2.44
Mo 0.0000 0.0000 0.0000  6 O 1.95-1.96
O 0.1830 0.8156 0.2051  1 Mo 1.95
O 0.7257 0.7271 0.0000  1 Mo 1.96
O 0.8170 0.1844 0.2051  1 Mo 1.95
O 0.8170 0.1844 0.7949  1 Mo 1.95
O 0.2743 0.2729 0.0000  1 Mo 1.96
O 0.1830 0.8156 0.7949  1 Mo 1.95
O 0.6831 0.6851 0.5000  2 Tb 2.22, 1 Nd 2.27
O 0.3169 0.3149 0.5000  2 Tb 2.22, 1 Nd 2.27